# 1
{
  "formula": "GaNiTe3",
  "functional": "PBE",
  "state": "relaxed",
  "raw_formation_energy_kcal_per_mol_atoms": 4.817,
  "polymorph_energy_mev_per_atom": 0,
  "lattice": [[5.1398, 0.0000, 0.0000], [0.0000, 5.1398, 0.0000], [0.0000, 0.0000, 5.1398]],
  "species": ["Ga", "Ni", "Te", "Te", "Te"],
  "frac_coords": [[0.0000, 0.0000, 0.0000], [0.5000, 0.5000, 0.5000], [0.0000, 0.5000, 0.5000], [0.5000, 0.0000, 0.5000], [0.5000, 0.5000, 0.0000]]
}


# 2
{
  "formula": "ThGa4Ni4",
  "functional": "PBE",
  "state": "relaxed",
  "formation_energy_ev_per_atom": -0.30,
  "polymorph_energy_mev_per_atom": 127,
  "lattice": [[-4.0625, 4.0625, 2.2733], [4.0625, -4.0625, 2.2733], [4.0625, 4.0625, -2.2733]],
  "species": ["Th", "Ga", "Ga", "Ga", "Ga", "Ni", "Ni", "Ni", "Ni"],
  "frac_coords": [[0.0000, 0.0000, 0.0000], [0.1251, 0.6002, 0.7252], [0.3998, 0.1251, 0.5249], [0.6002, 0.8749, 0.4751], [0.8749, 0.3998, 0.2748], [0.1750, 0.3000, 0.4750], [0.3000, 0.8250, 0.1250], [0.7000, 0.1750, 0.8750], [0.8250, 0.7000, 0.5250]]
}


# 3
{
  "formula": "Th2Ga3Ni",
  "functional": "PBE",
  "state": "relaxed",
  "formation_energy_ev_per_atom": -0.57,
  "lattice": [[4.3166, 0.0000, 0.0000], [0.0000, 7.9975, 0.0000], [0.0000, 0.0000, 7.4938]],
  "species": ["Th", "Th", "Th", "Th", "Ga", "Ga", "Ga", "Ga", "Ga", "Ga", "Ni", "Ni"],
  "frac_coords": [[0.0000, 0.2449, 0.0000], [0.0000, 0.7551, 0.0000], [0.5000, 0.2551, 0.5000], [0.5000, 0.7449, 0.5000], [0.0000, 0.0000, 0.3258], [0.0000, 0.0000, 0.6612], [0.0000, 0.5000, 0.3409], [0.5000, 0.0000, 0.8409], [0.5000, 0.5000, 0.1612], [0.5000, 0.5000, 0.8258], [0.0000, 0.5000, 0.6696], [0.5000, 0.0000, 0.1696]]
}


Number 1: D(E_F) 4.290 states/eV per cell. Number 2: D(E_F) 5.618 states/eV per cell. Number 3: D(E_F) 11.043 states/eV per cell.